Crystalline Be3GaTc at its relaxed geometry, computed with PBE-GGA.

abc: 4.0431 4.0431 4.0431
angles: 90.00 90.00 90.00
Positions (direct):
Be (0.0000, 0.5000, 0.0000)
Be (0.0000, 0.0000, 0.5000)
Be (0.5000, 0.0000, 0.0000)
Ga (0.0000, 0.0000, 0.0000)
Tc (0.5000, 0.5000, 0.5000)

Summary:
Its volume is 66 Å³/f.u. Its symmetry is Pm-3m, No. 221. The density of states at the Fermi level comes out at 2.69 states/eV/f.u. The total energy is -19.18 eV for the cell shown. The calculation puts the energy of formation from the pure elements at 1078.3 meV per atom.

=====

Crystalline BeGa3Tc at its relaxed geometry, computed with PBE-GGA.

abc: 4.3533 4.3533 4.3533
angles: 90.00 90.00 90.00
Positions (direct):
Tc (0.5000, 0.5000, 0.5000)
Ga (0.0000, 0.0000, 0.5000)
Ga (0.0000, 0.5000, 0.0000)
Ga (0.5000, 0.0000, 0.0000)
Be (0.0000, 0.0000, 0.0000)

Summary:
Its volume is 82 Å³/f.u. Its symmetry is Pm-3m, No. 221. As for the offset from the most stable computed form: 0.070 eV/atom. The density of states at the Fermi level comes out at 4.31 states/eV/f.u. The total energy is -19.40 eV for the cell shown. The calculation puts the energy of formation from the pure elements at 753.9 meV per atom.